Entry 1:
ReCl3: relaxed, PBE.

The structure belongs to space group Cmmm (No. 65); the cell edges are 4.8449, 13.0890 and 3.4678 Å and the angles 90.00°, 90.00° and 90.00°. The distinct sites, in fractional coordinates, are Re at (0.0000, 0.0000, 0.0000), Cl at (0.0000, 0.1282, 0.5000) and Cl at (0.0000, 0.5000, 0.0000).

For the formation energy without anion corrections, the calculation gives -266 meV/atom. As for the energy above the most stable polymorph in this dataset: 0.407 eV per atom.

=====

Entry 2:
CaAlVNi: relaxed, PBE.

The structure belongs to space group Pmm2 (No. 25); the cell edges are 3.1711, 4.3306 and 5.4527 Å and the angles 90.00°, 90.00° and 90.00°. The distinct sites, in fractional coordinates, are Ca at (0.0000, 0.0000, 0.0000), Al at (0.5000, 0.0000, 0.5077), V at (0.0000, 0.5000, 0.4460) and Ni at (0.5000, 0.5000, 0.7608).

As for the energy above the most stable polymorph in this dataset: 0.134 eV per atom. The formation energy comes out at 68.1 meV/atom.

=====

Entry 3:
AcScIrAu: relaxed, PBE.

The structure belongs to space group F-43m (No. 216); the cell edges are 7.1873, 7.1873 and 7.1873 Å and the angles 90.00°, 90.00° and 90.00°. The distinct sites, in fractional coordinates, are Ac at (0.0000, 0.0000, 0.0000), Sc at (0.0000, 0.0000, 0.5000), Ir at (0.2500, 0.2500, 0.2500) and Au at (0.2500, 0.2500, 0.7500).

The formation energy comes out at -534.6 meV/atom.

=====

Entry 4:
Ag3HOs: relaxed, PBE.

The structure belongs to space group Pm-3m (No. 221); the cell edges are 4.1203, 4.1203 and 4.1203 Å and the angles 90.00°, 90.00° and 90.00°. The distinct sites, in fractional coordinates, are Ag at (0.0000, 0.0000, 0.5000), H at (0.0000, 0.0000, 0.0000) and Os at (0.5000, 0.5000, 0.5000).

As for the energy above the most stable polymorph in this dataset: 0.000 eV per atom.

=====

| no. | DOS(E_F) (states/eV per cell) | total moment (Bohr magnetons per cell) |
| --- | --- | --- |
| 1 | 3.1 | 4.7 |
| 2 | 4.0 | 1.3 |
| 3 | 14.4 | 0.0 |
| 4 | 3.3 | 0.0 |